First-principles (PBE with a Hubbard U) data for a relaxed TiCr2FeO6 crystal, as listed in the Alexandria database.

The structure in extended XYZ format:
```
10
Lattice="5.136 0.000 0.000 -2.565 4.450 0.000 -2.519 -1.502 4.626" Properties=species:S:1:pos:R:3 pbc="T T T"
Ti 0.000 0.000 0.000
Cr 0.020 2.955 1.812
Cr 0.050 -0.009 4.120
Fe -2.534 1.494 2.374
O -3.581 3.039 3.160
O -1.746 2.905 0.780
O 0.941 1.467 0.773
O -0.626 1.619 3.193
O 1.798 -0.242 3.180
O 3.395 0.099 0.804
```

Values from the calculation:
* M_tot: 10.0 μB per formula unit
* Fermi-level density of states: 0.00 states/eV per cell
* E: -79.867 eV per cell